Here is a relaxed structure of Th4GeIrS2 from Alexandria via LeMat-Bulk. Energies are from PBE-GGA.

Summary:
Uncorrected formation energy in meV per atom: -1318

```
Th4GeIrS2
1.0
-0.0906 0.9528 3.9922
6.9395 -1.7285 0.5701
4.1124 5.9871 -1.3356
Th Ge Ir S
4 1 1 2
direct
0.0000 0.7380 0.7627
0.0000 0.2620 0.2373
0.5000 0.7524 0.2443
0.5000 0.2476 0.7557
0.0000 0.5000 0.5000
0.5000 0.5000 0.0000
0.0000 0.0000 0.0000
0.5000 0.0000 0.5000
```